(1)
Computed, not measured: Tl2RuW after structural relaxation at the PBE-GGA level of DFT.

```
4
Lattice="3.1113 -4.1398 0.0000 3.1113 4.1398 0.0000 0.0000 0.0000 2.9578" Properties=species:S:1:pos:R:3 pbc="T T T"
Tl 1.5557 2.0699 0.0000
Tl 1.5557 -2.0699 0.0000
Ru 0.0000 0.0000 1.4789
W 3.1113 0.0000 1.4789
```

Space group   Cmmm, No. 65
Crystal system   orthorhombic
Energy above the most stable polymorph in this dataset   0.667 eV per atom


(2)
Computed, not measured: TlRu2W after structural relaxation at the PBE-GGA level of DFT.

```
4
Lattice="0.0000 3.1950 3.1950 3.1950 0.0000 3.1950 3.1950 3.1950 0.0000" Properties=species:S:1:pos:R:3 pbc="T T T"
Tl 0.0000 0.0000 0.0000
Ru 1.5975 1.5975 1.5975
Ru 4.7926 4.7926 4.7926
W 3.1950 3.1950 3.1950
```

Space group   Fm-3m, No. 225
Crystal system   cubic
Energy above the most stable polymorph in this dataset   0.226 eV per atom


(3)
Computed, not measured: TlRu2W after structural relaxation at the PBE-GGA level of DFT.

```
4
Lattice="3.0031 0.0000 0.0000 0.0000 3.0031 0.0000 0.0000 0.0000 7.4250" Properties=species:S:1:pos:R:3 pbc="T T T"
Tl 0.0000 0.0000 0.0000
Ru 1.5015 1.5015 2.0994
Ru 1.5015 1.5015 5.3256
W 0.0000 0.0000 3.7125
```

Space group   P4/mmm, No. 123
Crystal system   tetragonal
Energy above the most stable polymorph in this dataset   0.000 eV per atom


(4)
Computed, not measured: TlRu2W after structural relaxation at the PBE-GGA level of DFT.

```
4
Lattice="4.7619 -1.5052 0.0000 4.7619 1.5052 0.0000 -1.1358 0.0000 4.6302" Properties=species:S:1:pos:R:3 pbc="T T T"
Tl 0.0000 0.0000 0.0000
Ru 1.4181 0.0000 3.6167
Ru 4.1429 0.0000 2.2613
W 6.8988 0.0000 1.5714
```

Space group   Cm, No. 8
Crystal system   monoclinic
Energy above the most stable polymorph in this dataset   0.242 eV per atom


(5)
Computed, not measured: Tl2RuW after structural relaxation at the PBE-GGA level of DFT.

```
4
Lattice="0.0000 3.3509 3.3509 3.3509 0.0000 3.3509 3.3509 3.3509 0.0000" Properties=species:S:1:pos:R:3 pbc="T T T"
Tl 1.6754 1.6754 1.6754
Tl 5.0263 5.0263 5.0263
Ru 0.0000 0.0000 0.0000
W 3.3509 3.3509 3.3509
```

Space group   Fm-3m, No. 225
Crystal system   cubic
Energy above the most stable polymorph in this dataset   0.671 eV per atom


(6)
Computed, not measured: TlRu2W after structural relaxation at the PBE-GGA level of DFT.

```
4
Lattice="0.0000 3.2152 3.2152 3.2152 0.0000 3.2152 3.2152 3.2152 0.0000" Properties=species:S:1:pos:R:3 pbc="T T T"
Tl 0.0000 0.0000 0.0000
Ru 3.2152 3.2152 3.2152
Ru 4.8228 4.8228 4.8228
W 1.6076 1.6076 1.6076
```

Space group   F-43m, No. 216
Crystal system   cubic
Energy above the most stable polymorph in this dataset   0.577 eV per atom


(7)
Computed, not measured: TlRu2W after structural relaxation at the PBE-GGA level of DFT.

```
8
Lattice="-3.6177 3.6177 2.8754 3.6177 -3.6177 2.8754 3.6177 3.6177 -2.8754" Properties=species:S:1:pos:R:3 pbc="T T T"
Tl 0.0000 0.0000 0.0000
Tl 0.0000 3.6177 1.4377
Ru 1.8088 -1.4394 2.1565
Ru 2.1783 1.8088 0.7188
Ru 1.8088 5.0571 -0.7188
Ru 1.4394 1.8088 3.5942
W 3.6177 0.0000 1.4377
W 0.0000 0.0000 2.8754
```

Space group   I-42d, No. 122
Crystal system   tetragonal
Energy above the most stable polymorph in this dataset   0.538 eV per atom


(8)
Computed, not measured: TlRu2W after structural relaxation at the PBE-GGA level of DFT.

```
4
Lattice="1.4394 0.8311 9.2577 -1.4394 0.8311 9.2577 0.0000 -1.6621 9.2577" Properties=species:S:1:pos:R:3 pbc="T T T"
Tl 0.0000 0.0000 0.0000
Ru 0.0000 0.0000 6.8409
Ru 0.0000 0.0000 14.0096
W 0.0000 0.0000 21.1050
```

Space group   R3m, No. 160
Crystal system   trigonal
Energy above the most stable polymorph in this dataset   0.327 eV per atom


(9)
Computed, not measured: Tl2RuW after structural relaxation at the PBE-GGA level of DFT.

```
4
Lattice="-1.5602 2.4313 5.6547 1.5602 -2.4313 5.6547 1.5602 2.4313 -5.6547" Properties=species:S:1:pos:R:3 pbc="T T T"
Tl 0.0000 0.0000 0.0000
Tl 0.0000 2.4313 2.4041
Ru 0.0000 0.0000 4.9285
W 1.5602 0.0000 3.0874
```

Space group   Imm2, No. 44
Crystal system   orthorhombic
Energy above the most stable polymorph in this dataset   0.377 eV per atom


(10)
Computed, not measured: TlRu2W after structural relaxation at the PBE-GGA level of DFT.

```
4
Lattice="2.8799 0.0000 0.0000 0.0000 4.1332 0.0000 0.0000 0.0000 5.6229" Properties=species:S:1:pos:R:3 pbc="T T T"
Tl 0.0000 0.0000 0.0000
Ru 0.0000 0.0000 2.8024
Ru 1.4399 2.0666 4.1933
W 1.4399 2.0666 1.7755
```

Space group   Pmm2, No. 25
Crystal system   orthorhombic
Energy above the most stable polymorph in this dataset   0.254 eV per atom


(11)
Computed, not measured: TlRu2W after structural relaxation at the PBE-GGA level of DFT.

```
4
Lattice="3.0418 -3.5319 0.0000 3.0418 3.5319 0.0000 0.0000 0.0000 3.0402" Properties=species:S:1:pos:R:3 pbc="T T T"
Tl 0.0000 0.0000 0.0000
Ru 1.5209 1.7660 1.5201
Ru 1.5209 -1.7660 1.5201
W 3.0418 0.0000 0.0000
```

Space group   Cmmm, No. 65
Crystal system   orthorhombic
Energy above the most stable polymorph in this dataset   0.275 eV per atom


(12)
Computed, not measured: TlRu2W after structural relaxation at the PBE-GGA level of DFT.

```
4
Lattice="4.5528 -1.4576 0.0000 4.5528 1.4576 0.0000 -1.0104 0.0000 5.0710" Properties=species:S:1:pos:R:3 pbc="T T T"
Tl 0.0000 0.0000 0.0000
Ru 1.4533 0.0000 3.5823
Ru 6.6419 0.0000 1.4887
W 4.0476 0.0000 2.5355
```

Space group   C2/m, No. 12
Crystal system   monoclinic
Energy above the most stable polymorph in this dataset   0.231 eV per atom


Table of E_form (eV/f.u.), in record order: 4.32, 1.97, 1.07, 2.03, 4.33, 3.37, 3.22, 2.37, 3.16, 2.08, 2.17, 1.99
Table of N(E_F) (states/eV/cell), in record order: 5.0, 7.6, 3.9, 4.4, 2.7, 5.0, 5.2, 2.7, 3.0, 3.2, 3.7, 3.0